No. 1
Ce4SeO5, optimized geometry, DFT PBE; mass density = 5.99 g cm⁻³; magnetization = 0.376 μB/atom; calculated total energy = -81.0 eV/f.u.; density of states at the Fermi level = 37.3 states/eV per cell; V = 398.8 Å³/cell
1.0
7.367 0.000 0.000
0.000 9.335 0.000
0.000 0.000 5.799
Ce Se O
8 2 10
Cartesian
0.056 2.334 0.258 Ce
1.842 0.320 3.092 Ce
1.842 4.348 3.092 Ce
3.627 2.334 0.258 Ce
3.739 7.001 5.541 Ce
5.525 4.987 2.707 Ce
5.525 9.015 2.707 Ce
7.311 7.001 5.541 Ce
1.842 7.001 1.893 Se
5.525 2.334 3.906 Se
0.003 0.596 1.581 O
0.003 4.071 1.581 O
7.364 5.264 4.217 O
7.364 8.739 4.217 O
1.842 2.334 4.547 O
3.680 0.596 1.581 O
3.680 4.071 1.581 O
3.686 5.264 4.217 O
3.686 8.739 4.217 O
5.525 7.001 1.252 O

***

No. 2
Ce2SiSeO4, optimized geometry, DFT PBE; mass density = 5.86 g cm⁻³; magnetization = 0.250 μB/atom; calculated total energy = -63.7 eV/f.u.; density of states at the Fermi level = 55.6 states/eV per cell; V = 511.1 Å³/cell
1.0
6.303 0.000 0.000
0.000 7.262 0.000
0.000 0.000 11.167
Ce Si Se O
8 4 4 16
Cartesian
0.687 1.815 0.000 Ce
0.687 1.815 5.584 Ce
2.313 3.872 2.792 Ce
2.313 7.020 8.375 Ce
3.990 0.241 2.792 Ce
3.990 3.389 8.375 Ce
5.616 5.446 0.000 Ce
5.616 5.446 5.584 Ce
2.429 5.446 0.000 Si
2.429 5.446 5.584 Si
3.874 1.815 0.000 Si
3.874 1.815 5.584 Si
0.448 4.492 8.375 Se
0.448 6.400 2.792 Se
5.855 0.861 8.375 Se
5.855 2.769 2.792 Se
1.444 4.173 0.345 O
1.444 4.173 5.238 O
1.444 6.720 5.929 O
1.444 6.720 10.822 O
2.869 1.706 6.895 O
2.869 1.706 9.855 O
2.869 1.925 1.312 O
2.869 1.925 4.272 O
3.434 5.337 6.895 O
3.434 5.337 9.855 O
3.434 5.556 1.312 O
3.434 5.556 4.272 O
4.859 0.542 0.345 O
4.859 0.542 5.238 O
4.859 3.089 5.929 O
4.859 3.089 10.822 O

***

No. 3
CeSmSeO2, optimized geometry, DFT PBE; mass density = 6.92 g cm⁻³; magnetization = 0.200 μB/atom; calculated total energy = -38.9 eV/f.u.; density of states at the Fermi level = 6.1 states/eV per cell; V = 96.3 Å³/cell
1.0
-1.966 1.966 6.231
1.966 -1.966 6.231
1.966 1.966 -6.231
Ce Sm Se O
1 1 1 2
Cartesian
0.000 0.000 0.000 Ce
0.000 0.000 3.795 Sm
0.000 0.000 8.154 Se
1.966 0.000 5.004 O
0.000 1.966 5.004 O

***

No. 4
SrCeSe2O8, optimized geometry, DFT PBE; mass density = 3.86 g cm⁻³; magnetization = 0.085 μB/atom; calculated total energy = -73.6 eV/f.u.; density of states at the Fermi level = 5.7 states/eV per cell; V = 221.1 Å³/cell
1.0
5.906 0.000 0.000
-2.953 5.114 0.000
0.000 0.000 7.322
Sr Ce Se O
1 1 2 8
Cartesian
0.000 0.000 0.000 Sr
0.000 0.000 3.661 Ce
0.000 3.410 5.707 Se
2.953 1.705 1.615 Se
0.000 1.667 5.225 O
-1.509 4.281 5.225 O
1.444 0.834 2.096 O
0.000 3.410 0.047 O
2.953 1.705 7.275 O
1.509 4.281 5.225 O
4.462 0.834 2.096 O
2.953 3.447 2.096 O

***

No. 5
Sr2CeSe2O2, optimized geometry, DFT PBE; mass density = 5.12 g cm⁻³; magnetization = 0.000 μB/atom; calculated total energy = -43.8 eV/f.u.; V = 163.9 Å³/cell
1.0
-2.211 2.211 8.380
2.211 -2.211 8.380
2.211 2.211 -8.380
Sr Ce Se O
2 1 2 2
Cartesian
0.000 0.000 2.311 Sr
0.000 0.000 14.450 Sr
0.000 0.000 8.380 Ce
0.000 0.000 5.475 Se
0.000 0.000 11.286 Se
2.211 0.000 0.000 O
0.000 2.211 0.000 O

***

No. 6
SrCeSeO2, optimized geometry, DFT PBE; mass density = 5.67 g cm⁻³; magnetization = 0.000 μB/atom; calculated total energy = -34.9 eV/f.u.; V = 99.1 Å³/cell
1.0
-1.973 1.973 6.366
1.973 -1.973 6.366
1.973 1.973 -6.366
Sr Ce Se O
1 1 1 2
Cartesian
0.000 0.000 0.000 Sr
0.000 0.000 3.872 Ce
0.000 0.000 8.338 Se
1.973 0.000 4.877 O
0.000 1.973 4.877 O

***

No. 7
TbCeSeO2, optimized geometry, DFT PBE; mass density = 7.27 g cm⁻³; magnetization = 0.200 μB/atom; calculated total energy = -38.9 eV/f.u.; density of states at the Fermi level = 5.9 states/eV per cell; V = 93.7 Å³/cell
1.0
-1.948 1.948 6.172
1.948 -1.948 6.172
1.948 1.948 -6.172
Tb Ce Se O
1 1 1 2
Cartesian
0.000 0.000 0.000 Tb
0.000 0.000 3.773 Ce
0.000 0.000 8.057 Se
1.948 0.000 5.034 O
0.000 1.948 5.034 O

***

No. 8
TbCe2Se2O2, optimized geometry, DFT PBE; mass density = 7.01 g cm⁻³; magnetization = 0.414 μB/atom; calculated total energy = -49.9 eV/f.u.; density of states at the Fermi level = 14.3 states/eV per cell; V = 149.0 Å³/cell
1.0
-2.195 2.195 7.728
2.195 -2.195 7.728
2.195 2.195 -7.728
Tb Ce Se O
1 2 2 2
Cartesian
0.000 0.000 0.000 Tb
0.000 0.000 5.868 Ce
0.000 0.000 9.587 Ce
0.000 0.000 2.812 Se
0.000 0.000 12.643 Se
2.195 0.000 0.000 O
0.000 2.195 0.000 O